La3Tc | PBE | optimized geometry

Output
* density: 7.75 g/cm³
* calculated volume: 110 Å³ per cell
* calculated total energy: -5.96 eV per atom
* M_tot: 0.000 Bohr magnetons per cell
* formation enthalpy at 0 K: 0.33 eV per atom

a b c (Å): 4.795 4.795 4.795
angles (deg): 90.00 90.00 90.00
Positions (direct):
La (0.500, 0.000, 0.500)
La (0.000, 0.000, 0.000)
La (0.000, 0.500, 0.500)
Tc (0.500, 0.500, 0.000)

Ga5Hg12Te3 | PBE | optimized geometry

Output
* density: 8.62 g/cm³
* calculated volume: 2417 Å³ per cell
* calculated total energy: -1.36 eV per atom
* M_tot: 0.000 Bohr magnetons per cell
* energy relative to the elements, uncorrected: 0.053 eV/atom

a b c (Å): 14.644 14.644 14.644
angles (deg): 109.47 109.47 109.47
Positions (direct):
Hg (0.401, 0.117, 0.576)
Hg (0.617, 0.041, 0.216)
Hg (0.784, 0.325, 0.901)
Hg (0.175, 0.076, 0.959)
Hg (0.424, 0.041, 0.325)
Hg (0.383, 0.959, 0.784)
Hg (0.076, 0.901, 0.117)
Hg (0.284, 0.883, 0.959)
Hg (0.576, 0.959, 0.675)
Hg (0.716, 0.599, 0.175)
Hg (0.325, 0.784, 0.401)
Hg (0.825, 0.924, 0.041)
Hg (0.424, 0.383, 0.599)
Hg (0.675, 0.459, 0.576)
Hg (0.541, 0.216, 0.117)
Hg (0.599, 0.883, 0.424)
Hg (0.959, 0.383, 0.284)
Hg (0.617, 0.576, 0.901)
Hg (0.216, 0.675, 0.099)
Hg (0.099, 0.175, 0.216)
Hg (0.716, 0.117, 0.041)
Hg (0.675, 0.216, 0.599)
Hg (0.924, 0.825, 0.541)
Hg (0.099, 0.924, 0.383)
Hg (0.117, 0.401, 0.076)
Hg (0.541, 0.325, 0.924)
Hg (0.383, 0.424, 0.099)
Hg (0.901, 0.825, 0.784)
Hg (0.117, 0.716, 0.541)
Hg (0.041, 0.617, 0.716)
Hg (0.284, 0.401, 0.825)
Hg (0.901, 0.076, 0.617)
Hg (0.825, 0.901, 0.284)
Hg (0.041, 0.424, 0.825)
Hg (0.784, 0.459, 0.383)
Hg (0.883, 0.284, 0.459)
Hg (0.459, 0.675, 0.076)
Hg (0.076, 0.175, 0.459)
Hg (0.325, 0.541, 0.424)
Hg (0.599, 0.716, 0.675)
Hg (0.175, 0.099, 0.716)
Hg (0.459, 0.784, 0.883)
Hg (0.216, 0.541, 0.617)
Hg (0.401, 0.284, 0.325)
Hg (0.883, 0.599, 0.924)
Hg (0.576, 0.617, 0.401)
Hg (0.924, 0.099, 0.883)
Hg (0.959, 0.576, 0.175)
Ga (0.625, 0.750, 0.875)
Ga (0.750, 0.625, 0.375)
Ga (0.000, 0.000, 0.000)
Ga (0.750, 0.125, 0.875)
Ga (0.250, 0.875, 0.125)
Ga (0.000, 0.000, 0.500)
Ga (0.500, 0.500, 0.000)
Ga (0.500, 0.000, 0.000)
Ga (0.125, 0.375, 0.250)
Ga (0.375, 0.125, 0.750)
Ga (0.625, 0.875, 0.250)
Ga (0.250, 0.375, 0.625)
Ga (0.375, 0.250, 0.125)
Ga (0.000, 0.500, 0.000)
Ga (0.500, 0.000, 0.500)
Ga (0.875, 0.250, 0.625)
Ga (0.875, 0.625, 0.750)
Ga (0.500, 0.500, 0.500)
Ga (0.000, 0.500, 0.500)
Ga (0.125, 0.750, 0.375)
Te (0.750, 0.875, 0.625)
Te (0.875, 0.750, 0.125)
Te (0.375, 0.750, 0.625)
Te (0.250, 0.625, 0.875)
Te (0.625, 0.250, 0.375)
Te (0.750, 0.375, 0.125)
Te (0.625, 0.375, 0.750)
Te (0.875, 0.125, 0.250)
Te (0.125, 0.875, 0.750)
Te (0.250, 0.125, 0.375)
Te (0.375, 0.625, 0.250)
Te (0.125, 0.250, 0.875)

Hf2UOs | PBE | optimized geometry

Output
* density: 16.13 g/cm³
* calculated volume: 81 Å³ per cell
* calculated total energy: -10.75 eV per atom
* M_tot: 2.193 Bohr magnetons per cell
* formation enthalpy at 0 K: -0.15 eV per atom

a b c (Å): 3.189 3.189 7.947
angles (deg): 90.00 90.00 90.00
Site moments in Bohr magnetons follow the coordinates.
Positions (direct):
U (0.500, 0.500, 0.500)  1.79
Hf (0.000, 0.000, 0.792)  0.07
Hf (0.000, 0.000, 0.208)  0.07
Os (0.500, 0.500, 0.000)  0.01

MgTc2Ag | PBE | optimized geometry

Output
* density: 8.54 g/cm³
* calculated volume: 64 Å³ per cell
* calculated total energy: -5.88 eV per atom
* M_tot: 0.000 Bohr magnetons per cell
* formation enthalpy at 0 K: 0.42 eV per atom

a b c (Å): 2.661 2.661 9.267
angles (deg): 90.00 90.00 103.49
Positions (direct):
Mg (0.500, 0.500, 0.750)
Tc (0.000, 0.000, 0.996)
Tc (0.000, 0.000, 0.504)
Ag (0.500, 0.500, 0.250)

AcDy2HoSe4 | PBE | optimized geometry

Output
* density: 8.33 g/cm³
* calculated volume: 206 Å³ per cell
* calculated total energy: -5.71 eV per atom
* M_tot: 0.000 Bohr magnetons per cell
* energy relative to the elements, uncorrected: -1.735 eV/atom

a b c (Å): 4.094 7.172 7.396
angles (deg): 71.51 90.00 90.00
Positions (direct):
Se (0.500, 0.243, 0.739)
Se (0.500, 0.757, 0.261)
Se (0.000, 0.768, 0.730)
Se (0.000, 0.232, 0.270)
Ac (0.500, 0.500, 0.000)
Dy (0.000, 0.000, 0.000)
Dy (0.500, 0.000, 0.500)
Ho (0.000, 0.500, 0.500)

Mg5Ag | PBE | optimized geometry

Output
* density: 2.94 g/cm³
* calculated volume: 259 Å³ per cell
* calculated total energy: -1.87 eV per atom
* M_tot: 0.000 Bohr magnetons per cell
* formation enthalpy at 0 K: -0.06 eV per atom

a b c (Å): 3.217 8.417 9.566
angles (deg): 90.00 90.00 90.00
Positions (direct):
Mg (0.500, 0.321, 0.971)
Mg (0.500, 0.877, 0.750)
Mg (0.000, 0.000, 0.000)
Mg (0.500, 0.123, 0.250)
Mg (0.000, 0.542, 0.750)
Mg (0.500, 0.321, 0.529)
Mg (0.500, 0.679, 0.029)
Mg (0.000, 0.458, 0.250)
Mg (0.500, 0.679, 0.471)
Mg (0.000, 0.000, 0.500)
Ag (0.000, 0.182, 0.750)
Ag (0.000, 0.818, 0.250)

Sr2Cu2Pd5Pt | PBE | optimized geometry

Output
* density: 9.39 g/cm³
* calculated volume: 364 Å³ per cell
* calculated total energy: -4.70 eV per atom
* M_tot: 0.000 Bohr magnetons per cell
* formation enthalpy at 0 K: -0.35 eV per atom

a b c (Å): 3.881 9.684 9.684
angles (deg): 90.00 90.00 90.00
Positions (direct):
Pd (0.500, 0.061, 0.794)
Pd (0.500, 0.706, 0.439)
Pd (0.500, 0.794, 0.939)
Pd (0.500, 0.500, 0.000)
Pd (0.500, 0.000, 0.500)
Pd (0.500, 0.561, 0.706)
Pd (0.500, 0.294, 0.561)
Pd (0.500, 0.206, 0.061)
Pd (0.500, 0.439, 0.294)
Pd (0.500, 0.939, 0.206)
Cu (0.000, 0.881, 0.381)
Cu (0.000, 0.619, 0.881)
Cu (0.000, 0.119, 0.619)
Cu (0.000, 0.381, 0.119)
Pt (0.000, 0.500, 0.500)
Pt (0.000, 0.000, 0.000)
Sr (0.000, 0.680, 0.180)
Sr (0.000, 0.820, 0.680)
Sr (0.000, 0.180, 0.320)
Sr (0.000, 0.320, 0.820)

KBe2Cd | PBE | optimized geometry

Output
* density: 3.44 g/cm³
* calculated volume: 82 Å³ per cell
* calculated total energy: -1.70 eV per atom
* M_tot: 0.000 Bohr magnetons per cell
* formation enthalpy at 0 K: 0.67 eV per atom

a b c (Å): 2.734 4.011 7.467
angles (deg): 90.00 90.00 90.00
Positions (direct):
K (0.500, 0.500, 0.750)
Be (0.000, 0.000, 0.096)
Be (0.000, 0.000, 0.404)
Cd (0.500, 0.500, 0.250)